Record 1
A relaxed Si2AgS crystal, computed with PBE.

- energy (eV/cell) = -15.189
- polymorph energy (0 for the lowest one) (eV/atom) = 0.294

a b c (Å): 4.589 4.589 4.589
angles (deg): 60.00 60.00 60.00
Fractional positions:
Si 0.250 0.250 0.250
Si 0.750 0.750 0.750
Ag 0.000 0.000 0.000
S 0.500 0.500 0.500

=====

Record 2
A relaxed Si2AgS4 crystal, computed with PBE.

- energy (eV/cell) = -32.144

a b c (Å): 6.024 6.024 6.024
angles (deg): 103.27 103.27 122.73
Fractional positions:
Si 0.250 0.750 0.500
Si 0.750 0.250 0.500
Ag 0.000 0.000 0.000
S 0.146 0.331 0.477
S 0.331 0.854 0.185
S 0.669 0.146 0.815
S 0.854 0.669 0.523

=====

Record 3
A relaxed SiAgS3 crystal, computed with PBE.

- energy (eV/cell) = -87.636
- polymorph energy (0 for the lowest one) (eV/atom) = 0.000

a b c (Å): 5.899 10.610 7.271
angles (deg): 90.00 90.00 90.00
Fractional positions:
Si 0.054 0.250 0.099
Si 0.446 0.750 0.599
Si 0.554 0.250 0.401
Si 0.946 0.750 0.901
Ag 0.000 0.000 0.500
Ag 0.000 0.500 0.500
Ag 0.500 0.000 0.000
Ag 0.500 0.500 0.000
S 0.128 0.095 0.930
S 0.128 0.405 0.930
S 0.180 0.250 0.377
S 0.320 0.750 0.877
S 0.372 0.595 0.430
S 0.372 0.905 0.430
S 0.628 0.095 0.570
S 0.628 0.405 0.570
S 0.680 0.250 0.123
S 0.820 0.750 0.623
S 0.872 0.595 0.070
S 0.872 0.905 0.070

=====

Record 4
A relaxed SmSiAg2S4 crystal, computed with PBE.

- energy (eV/cell) = -75.013

a b c (Å): 7.773 7.773 7.277
angles (deg): 117.87 117.87 92.58
Fractional positions:
Sm 0.000 0.500 0.000
Sm 0.500 0.000 0.500
Si 0.000 0.000 0.000
Si 0.000 0.000 0.500
Ag 0.000 0.500 0.500
Ag 0.500 0.000 0.000
Ag 0.500 0.500 0.000
Ag 0.500 0.500 0.500
S 0.216 0.784 0.508
S 0.216 0.784 0.992
S 0.218 0.221 0.969
S 0.221 0.218 0.469
S 0.779 0.782 0.531
S 0.782 0.779 0.031
S 0.784 0.216 0.008
S 0.784 0.216 0.492

=====

no.,M_tot (μB per cell),calculated density (g/cm³),raw formation energy (eV/atom)
1,0.0,4.8,0.6590
2,0.0,3.0,-0.2767
3,0.0,3.4,-0.2505
4,0.0,5.4,-0.6440